i:
Below is a relaxed structure of Mg2TlAs, with properties calculated at the GGA-PBE level.

Results
D(E_F)   1.752 states/eV/cell
Symmetry   R3m (160)
Magnetic moment   0.0 μB/f.u.

a b c (Å): 10.4334 10.4334 10.4334
angles (deg): 18.02 18.02 18.02
Sites, in units of the cell vectors:
Tl: 0.5013 0.5013 0.5013
Mg: 0.2539 0.2539 0.2539
Mg: 0.0051 0.0051 0.0051
As: 0.7397 0.7397 0.7397

***

ii:
Below is a relaxed structure of Mg2TlAs, with properties calculated at the GGA-PBE level.

Results
D(E_F)   3.357 states/eV/cell
Symmetry   I-42d (122)
Magnetic moment   0.0 μB/f.u.

a b c (Å): 7.7355 7.7355 6.4433
angles (deg): 53.11 53.11 90.00
Sites, in units of the cell vectors:
Mg: 0.8750 0.8209 0.7500
Mg: 0.1791 0.6250 0.2500
Mg: 0.5709 0.1250 0.2500
Mg: 0.3750 0.4291 0.7500
As: 0.5000 0.5000 0.0000
As: 0.2500 0.7500 0.5000
Tl: 0.7500 0.2500 0.5000
Tl: 0.0000 0.0000 0.0000

***

Of them, the most stable is ii and the least stable is i.

***

i:
Below is a relaxed structure of Mg2Tl2As, with properties calculated at the GGA-PBE level.

Results
D(E_F)   4.683 states/eV/cell
Symmetry   P4/mbm (127)
Magnetic moment   0.0 μB/f.u.

a b c (Å): 7.7169 7.7169 4.2413
angles (deg): 90.00 90.00 90.00
Sites, in units of the cell vectors:
Tl: 0.8545 0.6455 0.0000
Tl: 0.6455 0.1455 0.0000
Tl: 0.1455 0.3545 0.0000
Tl: 0.3545 0.8545 0.0000
Mg: 0.8391 0.3391 0.5000
Mg: 0.1609 0.6609 0.5000
Mg: 0.6609 0.8391 0.5000
Mg: 0.3391 0.1609 0.5000
As: 0.5000 0.5000 0.0000
As: 0.0000 0.0000 0.0000

***

ii:
Below is a relaxed structure of Mg2Tl2As, with properties calculated at the GGA-PBE level.

Results
D(E_F)   4.928 states/eV/cell
Symmetry   P4/mbm (127)
Magnetic moment   0.0 μB/f.u.

a b c (Å): 7.0581 7.0581 5.1435
angles (deg): 90.00 90.00 90.00
Sites, in units of the cell vectors:
Tl: 0.3357 0.1643 0.5000
Tl: 0.8357 0.3357 0.5000
Tl: 0.1643 0.6643 0.5000
Tl: 0.6643 0.8357 0.5000
Mg: 0.3477 0.8477 0.0000
Mg: 0.6523 0.1523 0.0000
Mg: 0.8477 0.6523 0.0000
Mg: 0.1523 0.3477 0.0000
As: 0.5000 0.5000 0.0000
As: 0.0000 0.0000 0.0000

***

Of them, the most stable is ii and the least stable is i.

***

i:
Below is a relaxed structure of MgV2As2, with properties calculated at the GGA-PBE level.

Results
D(E_F)   2.823 states/eV/cell
Symmetry   I4/mmm (139)
Magnetic moment   0.0 μB/f.u.

a b c (Å): 4.7467 4.7467 5.1424
angles (deg): 62.51 62.51 90.00
Sites, in units of the cell vectors:
V: 0.6302 0.6302 0.7397
V: 0.3698 0.3698 0.2603
Mg: 0.0000 0.0000 0.0000
As: 0.7500 0.2500 0.5000
As: 0.2500 0.7500 0.5000

***

ii:
Below is a relaxed structure of MgV2As2, with properties calculated at the GGA-PBE level.

Results
D(E_F)   6.156 states/eV/cell
Symmetry   P4/mbm (127)
Magnetic moment   0.0 μB/f.u.

a b c (Å): 6.9999 6.9999 3.1725
angles (deg): 90.00 90.00 90.00
Sites, in units of the cell vectors:
As: 0.1479 0.3521 0.0000
As: 0.8521 0.6479 0.0000
As: 0.6479 0.1479 0.0000
As: 0.3521 0.8521 0.0000
Mg: 0.5000 0.5000 0.0000
Mg: 0.0000 0.0000 0.0000
V: 0.1429 0.6429 0.5000
V: 0.3571 0.1429 0.5000
V: 0.8571 0.3571 0.5000
V: 0.6429 0.8571 0.5000

***

Of them, the most stable is ii and the least stable is i.

***

i:
Below is a relaxed structure of MgVAs, with properties calculated at the GGA-PBE level.

Results
D(E_F)   4.104 states/eV/cell
Symmetry   P4/nmm (129)
Magnetic moment   0.0 μB/f.u.

a b c (Å): 3.8970 3.8970 6.6181
angles (deg): 90.00 90.00 90.00
Sites, in units of the cell vectors:
V: 0.5000 0.5000 0.5000
V: 0.0000 0.0000 0.5000
As: 0.0000 0.5000 0.2440
As: 0.5000 0.0000 0.7560
Mg: 0.0000 0.5000 0.8341
Mg: 0.5000 0.0000 0.1659

***

ii:
Below is a relaxed structure of MgVAs, with properties calculated at the GGA-PBE level.

Results
D(E_F)   5.620 states/eV/cell
Symmetry   P2_1/m (11)
Magnetic moment   0.0 μB/f.u.

a b c (Å): 4.8173 7.6178 7.6176
angles (deg): 56.93 69.28 69.27
Sites, in units of the cell vectors:
As: 0.8104 0.0261 0.7761
As: 0.1896 0.9739 0.2239
As: 0.1896 0.4739 0.7239
As: 0.8104 0.5261 0.2761
Mg: 0.7612 0.8335 0.5835
Mg: 0.2388 0.1665 0.4165
Mg: 0.2388 0.6664 0.9165
Mg: 0.7612 0.3336 0.0835
V: 0.7579 0.4095 0.6595
V: 0.2421 0.5905 0.3405
V: 0.2421 0.0905 0.8405
V: 0.7579 0.9095 0.1595

***

Of them, the most stable is i and the least stable is ii.

***

i:
Below is a relaxed structure of MgAsW2, with properties calculated at the GGA-PBE level.

Results
D(E_F)   4.256 states/eV/cell
Symmetry   I4/mmm (139)
Magnetic moment   0.0 μB/f.u.

a b c (Å): 5.3108 5.3108 5.3108
angles (deg): 137.82 137.82 61.18
Sites, in units of the cell vectors:
Mg: 0.7500 0.2500 0.5000
As: 0.2500 0.7500 0.5000
W: 0.0000 0.0000 0.0000
W: 0.5000 0.5000 0.0000

***

ii:
Below is a relaxed structure of MgAsW2, with properties calculated at the GGA-PBE level.

Results
D(E_F)   2.037 states/eV/cell
Symmetry   Imm2 (44)
Magnetic moment   0.0 μB/f.u.

a b c (Å): 5.0971 5.0971 5.0971
angles (deg): 140.66 127.84 67.24
Sites, in units of the cell vectors:
W: 0.2500 0.7500 0.5000
W: 0.0122 0.0122 0.0000
Mg: 0.7471 0.2471 0.5000
As: 0.4906 0.4906 0.0000

***

Of them, the most stable is ii and the least stable is i.

***

i:
Below is a relaxed structure of MgAsW2, with properties calculated at the GGA-PBE level.

Results
D(E_F)   3.994 states/eV/cell
Symmetry   Fm-3m (225)
Magnetic moment   0.0 μB/f.u.

a b c (Å): 4.4862 4.4862 4.4862
angles (deg): 60.00 60.00 60.00
Sites, in units of the cell vectors:
W: 0.7500 0.7500 0.7500
W: 0.2500 0.2500 0.2500
As: 0.5000 0.5000 0.5000
Mg: 0.0000 0.0000 0.0000

***

ii:
Below is a relaxed structure of MgAsW2, with properties calculated at the GGA-PBE level.

Results
D(E_F)   2.637 states/eV/cell
Symmetry   I-4m2 (119)
Magnetic moment   0.0 μB/f.u.

a b c (Å): 4.8003 4.8003 4.8003
angles (deg): 129.27 129.27 74.58
Sites, in units of the cell vectors:
Mg: 0.7500 0.2500 0.5000
W: 0.0000 0.0000 0.0000
W: 0.2500 0.7500 0.5000
As: 0.5000 0.5000 0.0000

***

Of them, the most stable is ii and the least stable is i.